# 1
# SbAu (GGA-PBE, optimized geometry)
# Uncorrected energy   -3.578 eV/atom
# Energy relative to the elements, uncorrected   121 meV per atom
# M_tot   0.00 Bohr magnetons per cell
# DOS at the Fermi energy   6.28 states/eV/cell
data_SbAu
_chemical_formula_sum 'Sb4 Au4'
_cell_length_a 7.321
_cell_length_b 7.321
_cell_length_c 4.591
_cell_angle_alpha 90.00
_cell_angle_beta 90.00
_cell_angle_gamma 90.00
_symmetry_space_group_name_H-M 'P 42/m n m'
_symmetry_Int_Tables_number 136
_symmetry_space_group_name_Hall '-P 4n 2n'
loop_
_atom_site_label
_atom_site_type_symbol
_atom_site_fract_x
_atom_site_fract_y
_atom_site_fract_z
Sb1 Sb 0.213 0.213 0.000
Au1 Au 0.153 0.847 0.000


# 2
# Ac5Al2Sb (GGA-PBE, optimized geometry)
# Uncorrected energy   -4.438 eV/atom
# Energy relative to the elements, uncorrected   -420 meV per atom
# M_tot   0.00 Bohr magnetons per cell
# DOS at the Fermi energy   37.22 states/eV/cell
data_Ac5Al2Sb
_chemical_formula_sum 'Ac20 Al8 Sb4'
_cell_length_a 8.886
_cell_length_b 8.886
_cell_length_c 14.408
_cell_angle_alpha 90.00
_cell_angle_beta 90.00
_cell_angle_gamma 90.00
_symmetry_space_group_name_H-M 'I 4/m c m'
_symmetry_Int_Tables_number 140
_symmetry_space_group_name_Hall '-I 4 2c'
loop_
_atom_site_label
_atom_site_type_symbol
_atom_site_fract_x
_atom_site_fract_y
_atom_site_fract_z
Ac1 Ac 0.000 0.000 0.000
Ac2 Ac 0.166 0.334 0.146
Al1 Al 0.125 0.375 0.500
Sb1 Sb 0.000 0.000 0.250


- What is the formula in the first record?
  SbAu